[1]
The following is a PBE-GGA calculation of crystalline NaAgB2Pd at its relaxed geometry, from Alexandria via LeMat-Bulk.

a b c (Å): 4.1195 5.2844 4.1195
angles (deg): 90.00 90.00 90.00
Positions (direct):
Na1 0.5000 0.5000 0.5000
B1 0.0000 0.0000 0.5000
B2 0.5000 0.0000 0.0000
Pd1 0.0000 0.5000 0.0000
Ag1 0.0000 0.0000 0.0000

Summary:
space-group type: P4/mmm, No. 123
formation energy: 120.0 kJ per mole of atoms

=====

[2]
The following is a PBE-GGA calculation of crystalline Pu3UNb2N6 at its relaxed geometry, from Alexandria via LeMat-Bulk.

a b c (Å): 5.7671 5.7671 5.8428
angles (deg): 99.48 99.48 119.87
Positions (direct):
Pu1 0.1694 0.8306 0.5000
Pu2 0.8306 0.1694 0.5000
Pu3 0.5000 0.5000 0.5000
U1 0.0000 0.0000 0.0000
Nb1 0.3346 0.6654 0.0000
Nb2 0.6654 0.3346 0.0000
N1 0.9256 0.5878 0.7762
N2 0.7376 0.7376 0.2257
N3 0.0744 0.4122 0.2238
N4 0.5878 0.9256 0.7762
N5 0.2624 0.2624 0.7743
N6 0.4122 0.0744 0.2238

Summary:
space-group type: C2/m, No. 12
formation energy without anion corrections: -1.263 eV per atom

=====

[3]
The following is a PBE-GGA calculation of crystalline ZnSbW2 at its relaxed geometry, from Alexandria via LeMat-Bulk.

a b c (Å): 4.6012 4.6012 4.6012
angles (deg): 60.00 60.00 60.00
Positions (direct):
Sb1 0.5000 0.5000 0.5000
W1 0.0000 0.0000 0.0000
W2 0.7500 0.7500 0.7500
Zn1 0.2500 0.2500 0.2500

Summary:
space-group type: F-43m, No. 216
formation energy without anion corrections: 0.621 eV per atom
offset from the most stable computed form: 304.1 meV/atom

=====

[4]
The following is a PBE-GGA calculation of crystalline NaMn3Tc at its relaxed geometry, from Alexandria via LeMat-Bulk.

a b c (Å): 4.5162 4.5162 4.5162
angles (deg): 90.00 90.00 90.00
Positions (direct):
Na1 0.0000 0.0000 0.0000
Mn1 0.0000 0.5000 0.0000
Mn2 0.0000 0.0000 0.5000
Mn3 0.5000 0.0000 0.0000
Tc1 0.5000 0.5000 0.5000

Summary:
space-group type: Pm-3m, No. 221
formation energy: 198.8 kJ per mole of atoms
offset from the most stable computed form: 1033.2 meV/atom

=====

Copy entry 1 word for word.
The following is a PBE-GGA calculation of crystalline NaAgB2Pd at its relaxed geometry, from Alexandria via LeMat-Bulk.

a b c (Å): 4.1195 5.2844 4.1195
angles (deg): 90.00 90.00 90.00
Positions (direct):
Na1 0.5000 0.5000 0.5000
B1 0.0000 0.0000 0.5000
B2 0.5000 0.0000 0.0000
Pd1 0.0000 0.5000 0.0000
Ag1 0.0000 0.0000 0.0000

Summary:
space-group type: P4/mmm, No. 123
formation energy: 120.0 kJ per mole of atoms